# 1
Compound: ErSn3
Source: Alexandria
Functional: SCAN
Structure: single point on PBEsol structure

Cell: 4.315 11.052 11.052 Å, 22.74 90.00 90.00°
Atoms (fractional coordinates):
Er 0.000 0.000 0.000
Er 0.500 0.273 0.273
Sn 0.000 0.149 0.149
Sn 0.000 0.389 0.389
Sn 0.000 0.767 0.767
Sn 0.500 0.526 0.526
Sn 0.500 0.661 0.661
Sn 0.500 0.889 0.889

Calculated values
total magnetic moment: 0.00 Bohr magnetons per cell
ΔE_f: -0.37 eV per atom



# 2
Compound: FePd
Source: Alexandria
Functional: SCAN
Structure: single point on PBEsol structure

Cell: 2.656 2.656 3.716 Å, 90.00 90.00 90.00°
Atoms (fractional coordinates):
Fe 0.000 0.000 0.000
Pd 0.500 0.500 0.500

Calculated values
total magnetic moment: 3.42 Bohr magnetons per cell
ΔE_f: -0.19 eV per atom



# 3
Compound: CdReBr2
Source: Alexandria
Functional: SCAN
Structure: single point on PBEsol structure

Cell: 4.432 3.185 7.206 Å, 90.00 107.85 90.00°
Atoms (fractional coordinates):
Cd 0.000 0.000 0.000
Re 0.542 0.500 0.083
Br 0.361 0.500 0.721
Br 0.678 0.000 0.356

Calculated values
total magnetic moment: 1.20 Bohr magnetons per cell
formation energy without anion corrections: 1.06 eV per formula unit
excess energy over the best structure of this formula in the dataset: 0 meV per atom



# 4
Compound: Ho6Mn23
Source: Alexandria
Functional: SCAN
Structure: single point on PBEsol structure

Cell: 8.264 8.264 8.264 Å, 60.00 60.00 60.00°
Atoms (fractional coordinates):
Ho 0.205 0.205 0.795
Ho 0.205 0.795 0.205
Ho 0.205 0.795 0.795
Ho 0.795 0.205 0.205
Ho 0.795 0.205 0.795
Ho 0.795 0.795 0.205
Mn 0.000 0.000 0.500
Mn 0.000 0.500 0.000
Mn 0.000 0.500 0.500
Mn 0.135 0.622 0.622
Mn 0.177 0.177 0.177
Mn 0.177 0.177 0.468
Mn 0.177 0.468 0.177
Mn 0.378 0.378 0.378
Mn 0.378 0.378 0.865
Mn 0.378 0.865 0.378
Mn 0.468 0.177 0.177
Mn 0.500 0.000 0.000
Mn 0.500 0.000 0.500
Mn 0.500 0.500 0.000
Mn 0.500 0.500 0.500
Mn 0.532 0.823 0.823
Mn 0.622 0.135 0.622
Mn 0.622 0.622 0.135
Mn 0.622 0.622 0.622
Mn 0.823 0.532 0.823
Mn 0.823 0.823 0.532
Mn 0.823 0.823 0.823
Mn 0.865 0.378 0.378

Calculated values
total magnetic moment: 16.20 Bohr magnetons per cell
ΔE_f: -0.11 eV per atom



# 5
Compound: Ag5Hg4P8Cl5
Source: Alexandria
Functional: SCAN
Structure: single point on PBEsol structure

Cell: 8.997 8.997 6.214 Å, 100.73 100.73 74.69°
Atoms (fractional coordinates):
Ag 0.000 0.000 0.000
Ag 0.291 0.291 0.059
Ag 0.359 0.641 0.000
Ag 0.641 0.359 0.000
Ag 0.709 0.709 0.941
Hg 0.017 0.674 0.469
Hg 0.326 0.983 0.531
Hg 0.674 0.017 0.469
Hg 0.983 0.326 0.531
P 0.260 0.260 0.665
P 0.295 0.599 0.603
P 0.358 0.358 0.444
P 0.401 0.705 0.397
P 0.599 0.295 0.603
P 0.642 0.642 0.556
P 0.705 0.401 0.397
P 0.740 0.740 0.335
Cl 0.000 0.000 0.500
Cl 0.025 0.698 0.975
Cl 0.302 0.975 0.025
Cl 0.698 0.025 0.975
Cl 0.975 0.302 0.025

Calculated values
total magnetic moment: 0.00 Bohr magnetons per cell
formation energy without anion corrections: -7.22 eV per formula unit



# 6
Compound: Cs2CuMoBr6
Source: Alexandria
Functional: SCAN
Structure: single point on PBEsol structure

Cell: 7.398 7.398 7.398 Å, 60.00 60.00 60.00°
Atoms (fractional coordinates):
Cs 0.250 0.250 0.250
Cs 0.750 0.750 0.750
Cu 0.000 0.000 0.000
Mo 0.500 0.500 0.500
Br 0.252 0.252 0.748
Br 0.252 0.748 0.252
Br 0.252 0.748 0.748
Br 0.748 0.252 0.252
Br 0.748 0.252 0.748
Br 0.748 0.748 0.252

Calculated values
total magnetic moment: 2.96 Bohr magnetons per cell
formation energy without anion corrections: -11.38 eV per formula unit



# 7
Compound: BaNa2SiC
Source: Alexandria
Functional: SCAN
Structure: single point on PBEsol structure

Cell: 5.065 5.065 4.130 Å, 90.00 90.00 90.00°
Atoms (fractional coordinates):
Ba 0.000 0.000 0.000
Na 0.000 0.500 0.500
Na 0.500 0.000 0.500
Si 0.500 0.500 0.000
C 0.500 0.500 0.500

Calculated values
total magnetic moment: 0.00 Bohr magnetons per cell
formation energy without anion corrections: 3.13 eV per formula unit



# 8
Compound: CoRh2
Source: Alexandria
Functional: SCAN
Structure: single point on PBEsol structure

Cell: 2.630 3.637 7.854 Å, 90.00 90.00 90.00°
Atoms (fractional coordinates):
Co 0.000 0.000 0.161
Co 0.000 0.000 0.839
Rh 0.000 0.000 0.500
Rh 0.500 0.500 0.000
Rh 0.500 0.500 0.325
Rh 0.500 0.500 0.675

Calculated values
total magnetic moment: 5.45 Bohr magnetons per cell
ΔE_f: 0.06 eV per atom